Th2MgZr | PBE | relaxed

Results
- E: -5.955 eV per atom
- Energy relative to the lowest polymorph listed for this composition: 200 meV/atom
- N(E_F): 6.1 states/eV/cell
- Spin magnetization: 0.00 μB/cell
- Formation energy: 0.29 eV/atom
- Volume: 118 Å³/cell
- Symmetry: R-3m, No. 166

Cell: 12.470 12.470 12.470 Å, 15.33 15.33 15.33°
Fractional positions:
Th (0.091, 0.091, 0.091)
Th (0.909, 0.909, 0.909)
Mg (0.000, 0.000, 0.000)
Zr (0.500, 0.500, 0.500)